Compound: GaB3Ir
Source: the Alexandria database
Functional: PBE-GGA
Structure: relaxed

The formation energy is 0.906 eV per atom. As for the raw total energy: -5.478 eV per atom. Its total magnetic moment is 0.01 μB per cell. The calculation puts the energy above the lowest structure with this stoichiometry at 0.0 meV per atom. The space-group type is No. 221.

Unit cell a=4.158 b=4.158 c=4.158 alpha=90.00 beta=90.00 gamma=90.00
Fractional positions:
B  0.000  0.500  0.000
B  0.500  0.000  0.000
B  0.000  0.000  0.500
Ga  0.500  0.500  0.500
Ir  0.000  0.000  0.000

***

Compound: GaB2Ir4
Source: the Alexandria database
Functional: PBE-GGA
Structure: relaxed

The formation energy is -0.074 eV per atom. As for the raw total energy: -7.478 eV per atom. Its total magnetic moment is 0.00 μB per cell. The calculation puts the energy above the lowest structure with this stoichiometry at 0.0 meV per atom. The space-group type is No. 1.

Unit cell a=5.421 b=5.404 c=7.749 alpha=111.33 beta=120.31 gamma=75.65
Fractional positions:
B  0.625  0.862  0.310
B  0.109  0.321  0.616
B  0.702  0.494  0.383
B  0.555  0.312  0.692
Ir  0.834  0.536  0.168
Ir  0.890  0.047  0.641
Ir  0.894  0.099  0.294
Ir  0.803  0.600  0.706
Ir  0.363  0.664  0.828
Ir  0.407  0.245  0.360
Ir  0.465  0.160  0.870
Ir  0.293  0.597  0.133
Ga  0.029  0.029  0.000
Ga  0.282  0.783  0.500

***

Compound: GaBIr2
Source: the Alexandria database
Functional: PBE-GGA
Structure: relaxed

The formation energy is 0.134 eV per atom. As for the raw total energy: -6.722 eV per atom. Its total magnetic moment is 0.00 μB per cell. The calculation puts the energy above the lowest structure with this stoichiometry at 428.1 meV per atom. The space-group type is No. 225.

Unit cell a=4.132 b=4.132 c=4.132 alpha=60.00 beta=60.00 gamma=60.00
Fractional positions:
Ir  0.750  0.750  0.750
Ir  0.250  0.250  0.250
B  0.000  0.000  0.000
Ga  0.500  0.500  0.500

***

What did the first record say?
Compound: GaB3Ir
Source: the Alexandria database
Functional: PBE-GGA
Structure: relaxed

The formation energy is 0.906 eV per atom. As for the raw total energy: -5.478 eV per atom. Its total magnetic moment is 0.01 μB per cell. The calculation puts the energy above the lowest structure with this stoichiometry at 0.0 meV per atom. The space-group type is No. 221.

Unit cell a=4.158 b=4.158 c=4.158 alpha=90.00 beta=90.00 gamma=90.00
Fractional positions:
B  0.000  0.500  0.000
B  0.500  0.000  0.000
B  0.000  0.000  0.500
Ga  0.500  0.500  0.500
Ir  0.000  0.000  0.000